## Na5PtCl8 (PBE-GGA)

Data for an optimized crystal structure of Na5PtCl8.

## Properties
The uncorrected formation energy comes out at -1.20 eV/atom. The calculation puts the uncorrected energy at -3.16 eV per atom. The value obtained for the calculated volume is 1591.1 Å³/cell.

abc: 11.6743 11.6743 11.6743
angles: 90.00 90.00 90.00
Space group F-43m (No. 216)
One atom of each set of equivalent atoms:
Na: 0.0000 0.0000 0.0000
Na: 0.1390 0.1390 0.3610
Pt: 0.2500 0.2500 0.7500
Cl: 0.1313 0.1313 0.1313
Cl: 0.1335 0.1335 0.6335